No. 1
An optimized crystal structure of Li4Ac3Hg4. Source: Alexandria, functional PBE.

Computed properties:
DFT formation energy   -0.349 eV/atom
Distance to the lowest polymorph of the same formula   0 meV per atom
Volume   27.0 Å³/atom

Cell lengths 4.6862, 8.2336, 15.4163 Å; angles 90.00, 90.00, 90.00 degrees
Closest atoms and distances in Å follow each position.
Space group Immm (No. 71)
One atom of each set of equivalent atoms:
Li (0.0000, 0.1856, 0.1767) (multiplicity 8)  4 Hg 2.87-3.05, 1 Li 3.06
Ac (0.0000, 0.0000, 0.3770) (multiplicity 4)  6 Hg 3.38-3.43, 6 Li 3.45-3.59
Ac (0.0000, 0.5000, 0.5000) (multiplicity 2)  6 Hg 3.38-3.41
Hg (0.0000, 0.3005, 0.0000) (multiplicity 4)  2 Li 2.88
Hg (0.0000, 0.5000, 0.2810) (multiplicity 4)  6 Li 2.87-3.05

---

No. 2
An optimized crystal structure of CrAsP. Source: Alexandria, functional PBE.

Computed properties:
DFT formation energy   -0.085 eV/atom
Distance to the lowest polymorph of the same formula   111 meV per atom
Volume   14.5 Å³/atom

Cell lengths 3.0663, 3.0663, 5.3424 Å; angles 90.00, 90.00, 120.00 degrees
Closest atoms and distances in Å follow each position.
Space group P3m1 (No. 156)
One atom of each set of equivalent atoms:
Cr (0.0000, 0.0000, 0.0000) (multiplicity 1)  3 P 2.31, 3 As 2.46
As (0.3333, 0.6667, 0.6800) (multiplicity 1)  3 Cr 2.46
P (0.6667, 0.3333, 0.2766) (multiplicity 1)  3 Cr 2.31

---

No. 3
An optimized crystal structure of YThPd2. Source: Alexandria, functional PBE.

Computed properties:
DFT formation energy   -0.747 eV/atom
Distance to the lowest polymorph of the same formula   97 meV per atom
Volume   23.0 Å³/atom

Cell lengths 7.1707, 7.1707, 7.1707 Å; angles 90.00, 90.00, 90.00 degrees
Closest atoms and distances in Å follow each position.
Space group Fm-3m (No. 225)
One atom of each set of equivalent atoms:
Y (0.0000, 0.0000, 0.0000) (multiplicity 4)  8 Pd 3.11
Th (0.0000, 0.0000, 0.5000) (multiplicity 4)  8 Pd 3.11
Pd (0.2500, 0.2500, 0.2500) (multiplicity 8)  4 Th 3.11, 4 Y 3.11

---

No. 4
An optimized crystal structure of Ac3La7Hg4. Source: Alexandria, functional PBE.

Computed properties:
DFT formation energy   -0.250 eV/atom
Volume   35.3 Å³/atom

Cell lengths 19.6577, 5.2219, 12.1093 Å; angles 90.00, 127.34, 90.00 degrees
Closest atoms and distances in Å follow each position.
Space group C2/m (No. 12)
One atom of each set of equivalent atoms:
Ac (0.0000, 0.0000, 0.0000) (multiplicity 2)  6 Hg 3.65-3.81
Ac (0.1848, 0.5000, 0.6869) (multiplicity 4)  4 Hg 3.70-3.98, 9 La 3.76-4.07
La (0.0000, 0.0000, 0.5000) (multiplicity 2)  2 Hg 3.23
La (0.0169, 0.5000, 0.2882) (multiplicity 4)  3 Hg 3.15-3.22, 2 La 3.48
La (0.1637, 0.0000, 0.4329) (multiplicity 4)  3 Hg 3.22-3.40, 2 La 3.48
La (0.1954, 0.5000, 0.0330) (multiplicity 4)  4 Hg 3.09-3.26
Hg (0.1040, 0.0000, 0.8329) (multiplicity 4)  6 La 3.22-3.26
Hg (0.1629, 0.5000, 0.2525) (multiplicity 4)  5 La 3.09-3.40

---

No. 5
An optimized crystal structure of Pm8YTm2. Source: Alexandria, functional PBE.

Computed properties:
DFT formation energy   0.212 eV/atom
Distance to the lowest polymorph of the same formula   58 meV per atom
Volume   34.4 Å³/atom

Cell lengths 14.3216, 6.7613, 8.6277 Å; angles 90.00, 115.18, 90.00 degrees
Closest atoms and distances in Å follow each position.
Space group C2/m (No. 12)
One atom of each set of equivalent atoms:
Pm (0.0947, 0.2417, 0.3860) (multiplicity 8)  3 Pm 3.27-3.54, 2 Tm 3.46-3.53, 1 Y 3.48
Pm (0.1087, 0.0000, 0.9950) (multiplicity 4)  2 Pm 3.15-3.16, 1 Tm 3.30
Pm (0.2401, 0.0000, 0.7790) (multiplicity 4)  3 Pm 3.16-3.54, 1 Y 3.38
Y (0.0000, 0.5000, 0.0000) (multiplicity 2)  10 Pm 3.38-3.73, 2 Tm 3.47
Tm (0.1414, 0.5000, 0.7583) (multiplicity 4)  8 Pm 3.30-3.64, 1 Y 3.47

---

No. 6
An optimized crystal structure of Tb4MgTe5. Source: Alexandria, functional PBE.

Computed properties:
Distance to the lowest polymorph of the same formula   11 meV per atom
Volume   29.1 Å³/atom

Cell lengths 9.7460, 9.7460, 6.1337 Å; angles 90.00, 90.00, 90.00 degrees
Closest atoms and distances in Å follow each position.
Space group I4 (No. 79)
One atom of each set of equivalent atoms:
Tb (0.0916, 0.3118, 0.0000) (multiplicity 8)  6 Te 3.07-3.17
Mg (0.0000, 0.0000, 0.4954) (multiplicity 2)  6 Te 2.93-3.08
Te (0.0000, 0.0000, 0.9977) (multiplicity 2)  2 Mg 3.05-3.08, 4 Tb 3.17
Te (0.1010, 0.2827, 0.5001) (multiplicity 8)  1 Mg 2.93, 5 Tb 3.07-3.13

---

No. 7
An optimized crystal structure of GaCuAg2. Source: Alexandria, functional PBE.

Computed properties:
DFT formation energy   0.047 eV/atom
Volume   16.0 Å³/atom

Cell lengths 4.0460, 4.0460, 3.9059 Å; angles 90.00, 90.00, 90.00 degrees
Closest atoms and distances in Å follow each position.
Space group P4/mmm (No. 123)
One atom of each set of equivalent atoms:
Ga (0.0000, 0.0000, 0.0000) (multiplicity 1)  8 Ag 2.81, 4 Cu 2.86
Cu (0.5000, 0.5000, 0.0000) (multiplicity 1)  8 Ag 2.81, 4 Ga 2.86
Ag (0.0000, 0.5000, 0.5000) (multiplicity 2)  4 Ga 2.81, 4 Cu 2.81, 4 Ag 2.86

---

No. 8
An optimized crystal structure of V2Cr2N. Source: Alexandria, functional PBE.

Computed properties:
Distance to the lowest polymorph of the same formula   0 meV per atom
Volume   12.1 Å³/atom

Cell lengths 5.1654, 5.1654, 4.5411 Å; angles 90.00, 90.00, 90.00 degrees
Closest atoms and distances in Å follow each position.
Space group P4/mbm (No. 127)
One atom of each set of equivalent atoms:
V (0.1690, 0.3310, 0.0000) (multiplicity 4)  2 N 1.92
Cr (0.1441, 0.6441, 0.5000) (multiplicity 4)  1 Cr 2.11
N (0.0000, 0.0000, 0.0000) (multiplicity 2)  4 V 1.92

---

No. 9
An optimized crystal structure of CrInW2Br. Source: Alexandria, functional PBE.

Computed properties:
Electronic total energy   -6.459 eV/atom
Volume   21.7 Å³/atom

Cell lengths 4.5809, 4.5809, 5.1618 Å; angles 90.00, 90.00, 90.00 degrees
Closest atoms and distances in Å follow each position.
Space group P4/mmm (No. 123)
One atom of each set of equivalent atoms:
Cr (0.0000, 0.0000, 0.0000) (multiplicity 1)  4 W 2.29
In (0.0000, 0.0000, 0.5000) (multiplicity 1)  2 Cr 2.58
W (0.0000, 0.5000, 0.0000) (multiplicity 2)  2 Cr 2.29
Br (0.5000, 0.5000, 0.5000) (multiplicity 1)  4 In 3.24, 8 W 3.45

---

No. 10
An optimized crystal structure of Pr5Sm8Mg. Source: Alexandria, functional PBE.

Computed properties:
DFT formation energy   0.041 eV/atom
Volume   34.1 Å³/atom

Cell lengths 7.1623, 8.7397, 8.9833 Å; angles 113.88, 101.59, 102.00 degrees
Closest atoms and distances in Å follow each position.
Space group P1 (No. 1)
One atom of each set of equivalent atoms:
Pr (0.0000, 0.0000, 0.0000) (multiplicity 1)  7 Sm 3.25-3.63, 2 Pr 3.40-3.63
Pr (0.0392, 0.8449, 0.2926) (multiplicity 1)  4 Pr 3.40-3.78, 2 Mg 3.57-3.60, 6 Sm 3.59-3.74
Pr (0.1124, 0.5872, 0.8677) (multiplicity 1)  7 Sm 3.38-3.77, 3 Pr 3.60-3.78, 1 Mg 3.78
Pr (0.3189, 0.7010, 0.5786) (multiplicity 1)  7 Sm 3.37-3.77, 2 Pr 3.60-3.71, 1 Mg 3.64
Pr (0.6406, 0.4183, 0.1483) (multiplicity 1)  5 Sm 3.25-3.61, 1 Mg 3.56
Sm (0.1478, 0.4265, 0.1532) (multiplicity 1)  5 Pr 3.25-3.61, 1 Mg 3.51
Sm (0.2241, 0.1573, 0.7407) (multiplicity 1)  8 Sm 3.57-3.84, 5 Pr 3.59-3.91
Sm (0.4216, 0.2723, 0.4256) (multiplicity 1)  8 Sm 3.55-3.79, 4 Pr 3.69-3.80, 1 Mg 3.91
Sm (0.5017, 0.9944, 0.0198) (multiplicity 1)  5 Pr 3.25-3.60, 1 Mg 3.34, 1 Sm 3.57
Sm (0.6194, 0.5922, 0.8758) (multiplicity 1)  6 Pr 3.36-3.74, 3 Sm 3.57-3.73, 1 Mg 3.72
Sm (0.7186, 0.1490, 0.7340) (multiplicity 1)  8 Sm 3.57-3.83, 1 Mg 3.57, 4 Pr 3.63-3.84
Sm (0.8195, 0.7076, 0.5691) (multiplicity 1)  6 Pr 3.36-3.69, 1 Mg 3.51, 1 Sm 3.73
Sm (0.9218, 0.2631, 0.4199) (multiplicity 1)  7 Sm 3.55-3.85, 5 Pr 3.61-3.77, 1 Mg 3.81
Mg (0.5320, 0.8240, 0.2924) (multiplicity 1)  5 Sm 3.34-3.72, 4 Pr 3.56-3.64

---

No. 11
An optimized crystal structure of KYZr. Source: Alexandria, functional PBE.

Computed properties:
DFT formation energy   0.353 eV/atom
Distance to the lowest polymorph of the same formula   189 meV per atom
Volume   41.2 Å³/atom

Cell lengths 3.5222, 5.5961, 12.7069 Å; angles 99.64, 90.23, 90.01 degrees
Closest atoms and distances in Å follow each position.
Space group P1 (No. 1)
One atom of each set of equivalent atoms:
K (0.0000, 0.0000, 0.0000) (multiplicity 1)  2 K 3.52, 2 Zr 3.86-3.90
K (0.4921, 0.6016, 0.2657) (multiplicity 1)  2 K 3.52, 2 Zr 3.87-3.89
Y (0.0094, 0.4156, 0.7459) (multiplicity 1)  5 Zr 3.25-3.33, 4 Y 3.43-3.52
Y (0.5057, 0.1866, 0.5200) (multiplicity 1)  5 Zr 3.25-3.33, 4 Y 3.43-3.52
Zr (0.0047, 0.6972, 0.5415) (multiplicity 1)  2 Zr 2.99, 5 Y 3.25-3.33
Zr (0.5075, 0.9050, 0.7243) (multiplicity 1)  2 Zr 2.99, 5 Y 3.25-3.33

---

No. 12
An optimized crystal structure of Lu2SnN. Source: Alexandria, functional PBE.

Computed properties:
Electronic total energy   -6.546 eV/atom
Volume   19.3 Å³/atom

Cell lengths 3.4479, 3.4479, 22.5258 Å; angles 90.00, 90.00, 120.00 degrees
Closest atoms and distances in Å follow each position.
Space group R-3m (No. 166, hexagonal axes)
One atom of each set of equivalent atoms:
Lu (0.0000, 0.0000, 0.2230) (multiplicity 6)  3 N 2.36
Sn (0.0000, 0.0000, 0.0000) (multiplicity 3)  6 Lu 3.18, 6 Sn 3.45
N (0.0000, 0.0000, 0.5000) (multiplicity 3)  6 Lu 2.36

---

No. 13
An optimized crystal structure of Tb5Sn3. Source: Alexandria, functional PBE.

Computed properties:
DFT formation energy   -0.677 eV/atom
Distance to the lowest polymorph of the same formula   49 meV per atom
Volume   28.3 Å³/atom

Cell lengths 12.1240, 12.1240, 6.1621 Å; angles 90.00, 90.00, 90.00 degrees
Closest atoms and distances in Å follow each position.
Space group I4/mcm (No. 140)
One atom of each set of equivalent atoms:
Tb (0.0000, 0.5000, 0.2500) (multiplicity 4)  2 Tb 3.08, 4 Sn 3.18
Tb (0.0811, 0.2184, 0.0000) (multiplicity 16)  6 Sn 3.19-3.54, 1 Tb 3.44
Sn (0.0000, 0.0000, 0.2500) (multiplicity 4)  2 Sn 3.08, 8 Tb 3.22
Sn (0.1622, 0.3378, 0.5000) (multiplicity 8)  10 Tb 3.18-3.54

---

No. 14
An optimized crystal structure of GdHoZr. Source: Alexandria, functional PBE.

Computed properties:
DFT formation energy   0.095 eV/atom
Distance to the lowest polymorph of the same formula   15 meV per atom
Volume   28.3 Å³/atom

Cell lengths 3.4095, 3.4095, 8.4346 Å; angles 90.00, 90.00, 120.00 degrees
Closest atoms and distances in Å follow each position.
Space group P3m1 (No. 156)
One atom of each set of equivalent atoms:
Gd (0.0000, 0.0000, 0.0000) (multiplicity 1)  3 Zr 3.32, 6 Gd 3.41, 3 Ho 3.69
Ho (0.3333, 0.6667, 0.6300) (multiplicity 1)  3 Zr 3.29, 6 Ho 3.41
Zr (0.6667, 0.3333, 0.3169) (multiplicity 1)  3 Ho 3.29, 3 Gd 3.32, 6 Zr 3.41

---

No. 15
An optimized crystal structure of Sm4GaTeC. Source: Alexandria, functional PBE.

Computed properties:
Electronic total energy   -5.478 eV/atom
Volume   27.1 Å³/atom

Cell lengths 6.9238, 15.7434, 6.9554 Å; angles 90.00, 90.00, 90.00 degrees
Closest atoms and distances in Å follow each position.
Space group Cmcm (No. 63)
One atom of each set of equivalent atoms:
Sm (0.0000, 0.0815, 0.2500) (multiplicity 4)  1 C 2.55
Sm (0.0000, 0.4075, 0.2500) (multiplicity 4)  1 C 2.59
Sm (0.2500, 0.2500, 0.0000) (multiplicity 8)  2 C 2.46
Ga (0.0000, 0.1174, 0.7500) (multiplicity 4)  7 Sm 3.13-3.48
Te (0.0000, 0.3910, 0.7500) (multiplicity 4)  9 Sm 3.17-3.49
C (0.0000, 0.2433, 0.2500) (multiplicity 4)  6 Sm 2.46-2.59

---

No. 16
An optimized crystal structure of PmHgC. Source: Alexandria, functional PBE.

Computed properties:
DFT formation energy   -0.306 eV/atom
Volume   22.3 Å³/atom

Cell lengths 7.7488, 3.7593, 9.6376 Å; angles 90.00, 107.37, 90.00 degrees
Closest atoms and distances in Å follow each position.
Space group C2/m (No. 12)
One atom of each set of equivalent atoms:
Pm (0.0890, 0.0000, 0.3484) (multiplicity 4)  3 C 2.41-2.60
Hg (0.1855, 0.5000, 0.0996) (multiplicity 4)  3 Hg 2.94-3.06
C (0.0892, 0.5000, 0.5348) (multiplicity 4)  1 C 1.34

---

No. 17
An optimized crystal structure of Pm8YMg2. Source: Alexandria, functional PBE.

Computed properties:
DFT formation energy   0.010 eV/atom
Distance to the lowest polymorph of the same formula   0 meV per atom
Volume   32.4 Å³/atom

Cell lengths 17.8712, 5.1294, 8.1776 Å; angles 90.00, 108.18, 90.00 degrees
Closest atoms and distances in Å follow each position.
Space group C2/m (No. 12)
One atom of each set of equivalent atoms:
Pm (0.0497, 0.0000, 0.2330) (multiplicity 4)  1 Mg 3.51, 9 Pm 3.54-3.67, 2 Y 3.65
Pm (0.0940, 0.5000, 0.9599) (multiplicity 4)  3 Mg 3.49-3.51, 8 Pm 3.60-3.70, 1 Y 3.61
Pm (0.1412, 0.0000, 0.6982) (multiplicity 4)  3 Mg 3.42-3.46, 7 Pm 3.59-3.64, 2 Y 3.61
Pm (0.1840, 0.5000, 0.4329) (multiplicity 4)  3 Mg 3.39-3.78, 8 Pm 3.42-3.70, 1 Y 3.50
Y (0.0000, 0.5000, 0.5000) (multiplicity 2)  12 Pm 3.50-3.65
Mg (0.2272, 0.0000, 0.1346) (multiplicity 4)  10 Pm 3.39-3.78, 2 Mg 3.63

---

No. 18
An optimized crystal structure of NdIn6Hg8. Source: Alexandria, functional PBE.

Computed properties:
DFT formation energy   -0.049 eV/atom
Volume   27.3 Å³/atom

Cell lengths 9.7389, 9.7389, 14.9502 Å; angles 90.00, 90.00, 120.00 degrees
Closest atoms and distances in Å follow each position.
Space group R-3 (No. 148, hexagonal axes)
One atom of each set of equivalent atoms:
Nd (0.0000, 0.0000, 0.0000) (multiplicity 3)  8 Hg 3.22-3.26
In (0.0057, 0.1963, 0.3950) (multiplicity 18)  4 Hg 3.00-3.25, 2 In 3.26
Hg (0.0000, 0.0000, 0.2180) (multiplicity 6)  6 Hg 3.20-3.38, 3 In 3.25, 1 Nd 3.26
Hg (0.0200, 0.2933, 0.8897) (multiplicity 18)  3 In 3.00-3.12, 2 Hg 3.06-3.20, 1 Nd 3.22

---

No. 19
An optimized crystal structure of Ce3PuTh4Se8. Source: Alexandria, functional PBE.

Computed properties:
Electronic total energy   -7.266 eV/atom
Volume   26.1 Å³/atom

Cell lengths 8.3189, 8.3189, 20.8702 Å; angles 90.00, 90.00, 120.00 degrees
Closest atoms and distances in Å follow each position.
Space group R-3m (No. 166, hexagonal axes)
One atom of each set of equivalent atoms:
Ce (0.0000, 0.5000, 0.0000) (multiplicity 9)  6 Se 2.95
Pu (0.0000, 0.0000, 0.0000) (multiplicity 3)  6 Se 2.93
Th (0.0000, 0.0000, 0.5000) (multiplicity 3)  6 Se 3.00
Th (0.0000, 0.5000, 0.5000) (multiplicity 9)  6 Se 2.98
Se (0.0000, 0.0000, 0.2510) (multiplicity 6)  3 Ce 2.95, 3 Th 2.98
Se (0.0029, 0.5015, 0.7483) (multiplicity 18)  1 Pu 2.93, 2 Ce 2.95, 3 Th 2.98-3.00

---

No. 20
An optimized crystal structure of Pr2P4Pt3Rh. Source: Alexandria, functional PBE.

Computed properties:
DFT formation energy   -1.011 eV/atom
Volume   17.7 Å³/atom

Cell lengths 4.2958, 4.2958, 9.6096 Å; angles 90.00, 90.00, 90.00 degrees
Closest atoms and distances in Å follow each position.
Space group P-4m2 (No. 115)
One atom of each set of equivalent atoms:
Pr (0.0000, 0.5000, 0.2467) (multiplicity 2)  8 P 3.20-3.26, 2 Rh 3.25, 7 Pt 3.25-3.50
P (0.0000, 0.0000, 0.0000) (multiplicity 1)  4 Pt 2.42
P (0.0000, 0.5000, 0.6305) (multiplicity 2)  3 Pt 2.43-2.49, 2 Rh 2.49
P (0.5000, 0.5000, 0.0000) (multiplicity 1)  4 Pt 2.42
Pt (0.0000, 0.5000, 0.8830) (multiplicity 2)  5 P 2.42-2.43
Pt (0.5000, 0.5000, 0.5000) (multiplicity 1)  4 P 2.49
Rh (0.0000, 0.0000, 0.5000) (multiplicity 1)  4 P 2.49